Record 1
Here is a relaxed structure of DySc3Ru4 from Alexandria. Energies are from PBE-GGA.

## Properties
calculated formation energy	-44.8	kJ per mole of atoms
space-group type	P4/mmm

Cell: 4.603 4.603 6.533 Å, 90.00 90.00 90.00°
Positions (direct):
Dy: 0.000 0.000 0.000
Sc: 0.000 0.000 0.500
Sc: 0.500 0.500 0.000
Sc: 0.500 0.500 0.500
Ru: 0.000 0.500 0.257
Ru: 0.000 0.500 0.743
Ru: 0.500 0.000 0.257
Ru: 0.500 0.000 0.743


Record 2
Here is a relaxed structure of Dy2ScRu from Alexandria. Energies are from PBE-GGA.

## Properties
excess energy over the best structure of this formula in the dataset	480	meV per atom
calculated formation energy	13.8	kJ per mole of atoms
space-group type	R-3m

Cell: 10.540 10.540 10.540 Å, 18.48 18.48 18.48°
Positions (direct):
Dy: 0.103 0.103 0.103
Dy: 0.897 0.897 0.897
Sc: 0.000 0.000 0.000
Ru: 0.500 0.500 0.500


Record 3
Here is a relaxed structure of Dy3ScRu8 from Alexandria. Energies are from PBE-GGA.

## Properties
calculated formation energy	-29.5	kJ per mole of atoms
space-group type	R3m

Cell: 9.216 9.216 9.216 Å, 33.35 33.35 33.35°
Positions (direct):
Dy: 0.000 0.000 0.000
Dy: 0.126 0.126 0.126
Dy: 0.624 0.624 0.624
Sc: 0.500 0.500 0.500
Ru: 0.063 0.063 0.558
Ru: 0.063 0.558 0.063
Ru: 0.066 0.563 0.563
Ru: 0.313 0.313 0.313
Ru: 0.558 0.063 0.063
Ru: 0.563 0.066 0.563
Ru: 0.563 0.563 0.066
Ru: 0.813 0.813 0.813


Number 1: V 138.43 Å³/cell. Number 2: V 102.80 Å³/cell. Number 3: V 210.64 Å³/cell.